A plane-wave DFT calculation with PBE-GGA was carried out for a relaxed Tb2PmPrSm6 crystal.

a b c (Å): 9.7344 8.9297 8.9297
angles (deg): 117.59 93.84 93.84
Closest atoms and distances in Å follow each position.
Atoms (fractional coordinates):
Tb1 0.5463 0.1977 0.2982  6 Sm 3.33-3.67, 2 Pr 3.43-3.46, 1 Pm 3.59
Tb2 0.9537 0.7018 0.8023  6 Sm 3.33-3.67, 2 Pr 3.43-3.46, 1 Pm 3.59
Tb3 0.4537 0.8023 0.7018  6 Sm 3.33-3.67, 2 Pr 3.43-3.46, 1 Pm 3.59
Tb4 0.0463 0.2982 0.1977  6 Sm 3.33-3.67, 2 Pr 3.43-3.46, 1 Pm 3.59
Pr1 0.7500 0.0275 0.9725  4 Tb 3.43-3.46, 4 Sm 3.61-3.72
Pr2 0.2500 0.9725 0.0275  4 Tb 3.43-3.46, 4 Sm 3.61-3.72
Sm1 0.6825 0.0181 0.5657  2 Sm 3.26-3.61, 1 Tb 3.48, 1 Pm 3.52, 1 Pr 3.61
Sm2 0.3805 0.5106 0.2940  4 Sm 3.26-3.63, 3 Tb 3.33-3.49, 2 Pm 3.48-3.60
Sm3 0.0562 0.1162 0.7527  7 Sm 3.44-3.81, 1 Tb 3.54, 1 Pr 3.72
Sm4 0.6195 0.4894 0.7060  4 Sm 3.26-3.63, 3 Tb 3.33-3.49, 2 Pm 3.48-3.60
Sm5 0.1825 0.5657 0.0181  2 Sm 3.26-3.61, 1 Tb 3.48, 1 Pm 3.52, 1 Pr 3.61
Sm6 0.8805 0.2940 0.5106  4 Sm 3.26-3.63, 3 Tb 3.33-3.49, 2 Pm 3.48-3.60
Sm7 0.1195 0.7060 0.4894  4 Sm 3.26-3.63, 3 Tb 3.33-3.49, 2 Pm 3.48-3.60
Sm8 0.4438 0.2473 0.8838  7 Sm 3.44-3.81, 1 Tb 3.54, 1 Pr 3.72
Sm9 0.5562 0.7527 0.1162  7 Sm 3.44-3.81, 1 Tb 3.54, 1 Pr 3.72
Sm10 0.8175 0.4343 0.9819  2 Sm 3.26-3.61, 1 Tb 3.48, 1 Pm 3.52, 1 Pr 3.61
Sm11 0.3175 0.9819 0.4343  2 Sm 3.26-3.61, 1 Tb 3.48, 1 Pm 3.52, 1 Pr 3.61
Sm12 0.9438 0.8838 0.2473  7 Sm 3.44-3.81, 1 Tb 3.54, 1 Pr 3.72
Pm1 0.7500 0.5923 0.4077  6 Sm 3.48-3.60, 2 Tb 3.59
Pm2 0.2500 0.4077 0.5923  6 Sm 3.48-3.60, 2 Tb 3.59

Properties
E_tot, eV for the cell shown: -91.87
ΔH_f (0 K), eV/atom: 0.117

***

A plane-wave DFT calculation with PBE-GGA was carried out for a relaxed GaRh2S crystal.

a b c (Å): 4.3228 4.3228 4.3228
angles (deg): 60.00 60.00 60.00
Closest atoms and distances in Å follow each position.
Atoms (fractional coordinates):
S1 0.0000 0.0000 0.0000  8 Rh 2.65
Rh1 0.7500 0.7500 0.7500  4 S 2.65, 4 Ga 2.65
Rh2 0.2500 0.2500 0.2500  4 S 2.65, 4 Ga 2.65
Ga1 0.5000 0.5000 0.5000  8 Rh 2.65

Properties
E_tot, eV for the cell shown: -22.09
ΔE_f (raw), meV per atom: -59.2

***

A plane-wave DFT calculation with PBE-GGA was carried out for a relaxed VSi2PdS crystal.

a b c (Å): 4.6472 4.3058 4.6472
angles (deg): 90.00 90.00 90.00
Closest atoms and distances in Å follow each position.
Atoms (fractional coordinates):
Si1 0.5000 0.0000 0.0000  2 V 2.32
Si2 0.0000 0.0000 0.5000  2 V 2.32
Pd1 0.5000 0.5000 0.5000  8 Si 3.17, 4 S 3.29
S1 0.0000 0.5000 0.0000  2 V 2.15
V1 0.0000 0.0000 0.0000  2 S 2.15, 4 Si 2.32

Properties
E_tot, eV for the cell shown: -27.13
ΔE_f (raw), meV per atom: 430.8